Entry 1:
# PBE Dy6Ho3Tl, optimized geometry
# * calculated formation energy: 2.97 kJ/mol of atoms
data_Dy6Ho3Tl
_chemical_formula_sum 'Dy24 Ho12 Tl4'
_cell_length_a 9.648
_cell_length_b 20.264
_cell_length_c 6.268
_cell_angle_alpha 90.00
_cell_angle_beta 90.00
_cell_angle_gamma 90.00
_space_group_name_H-M_alt 'C m c 21'
_space_group_IT_number 36
loop_
_space_group_symop_operation_xyz
'x,y,z'
'-x,-y,z+1/2'
'-x,y,z'
'x,-y,z+1/2'
'x+1/2,y+1/2,z'
'-x+1/2,-y+1/2,z+1/2'
'-x+1/2,y+1/2,z'
'x+1/2,-y+1/2,z+1/2'
loop_
_atom_site_label
_atom_site_type_symbol
_atom_site_fract_x
_atom_site_fract_y
_atom_site_fract_z
Dy1 Dy 0.000 0.016 0.000
Dy2 Dy 0.000 0.287 0.026
Dy3 Dy 0.181 0.283 0.474
Dy4 Dy 0.183 0.444 0.259
Ho1 Ho 0.000 0.414 0.732
Ho2 Ho 0.170 0.127 0.327
Tl1 Tl 0.000 0.152 0.768

---

Entry 2:
# PBE Sc2BC, optimized geometry
# * calculated formation energy: 29.69 kJ/mol of atoms
data_Sc2BC
_chemical_formula_sum 'Sc8 B4 C4'
_cell_length_a 5.871
_cell_length_b 5.871
_cell_length_c 5.871
_cell_angle_alpha 90.00
_cell_angle_beta 90.00
_cell_angle_gamma 90.00
_space_group_name_H-M_alt 'F m -3 m'
_space_group_IT_number 225
_space_group_name_Hall '-F 4 2 3'
loop_
_atom_site_label
_atom_site_type_symbol
_atom_site_fract_x
_atom_site_fract_y
_atom_site_fract_z
Sc1 Sc 0.250 0.250 0.250
B1 B 0.000 0.000 0.000
C1 C 0.000 0.000 0.500

---

Entry 3:
# PBE Hf2GaSb, optimized geometry
# * energy relative to the elements, uncorrected: -0.41 eV/atom
data_Hf2GaSb
_chemical_formula_sum 'Hf4 Ga2 Sb2'
_cell_length_a 5.613
_cell_length_b 4.039
_cell_length_c 7.788
_cell_angle_alpha 90.00
_cell_angle_beta 110.62
_cell_angle_gamma 90.00
_space_group_name_H-M_alt 'P 1 21/m 1'
_space_group_IT_number 11
loop_
_space_group_symop_operation_xyz
'x,y,z'
'-x,-y,-z'
'-x,y+1/2,-z'
'x,-y+1/2,z'
loop_
_atom_site_label
_atom_site_type_symbol
_atom_site_fract_x
_atom_site_fract_y
_atom_site_fract_z
Hf1 Hf 0.187 0.250 0.419
Hf2 Hf 0.267 0.750 0.060
Ga1 Ga 0.104 0.250 0.798
Sb1 Sb 0.392 0.750 0.707

---

Number 1: E -4.340 eV/atom, V 30.636 A^3/atom. Number 2: E -6.833 eV/atom, V 12.649 A^3/atom. Number 3: E -7.169 eV/atom, V 20.657 A^3/atom.